# 1
Material: Ac8La2In
Method: DFT, GGA-PBE
State: optimized geometry

Cell lengths 10.778, 10.778, 10.778 Å; angles 147.01, 135.58, 56.43 degrees
Positions (direct):
1 Ac 0.130 0.363 0.767
2 Ac 0.182 0.182 0.000
3 Ac 0.249 0.000 0.249
4 Ac 0.404 0.637 0.767
5 Ac 0.596 0.363 0.233
6 Ac 0.751 0.000 0.751
7 Ac 0.818 0.818 0.000
8 Ac 0.870 0.637 0.233
9 La 0.309 0.809 0.500
10 La 0.691 0.191 0.500
11 In 0.000 0.500 0.500

- calculated volume (Å³ per atom) = 43.06
- energy of formation from the pure elements (eV per formula unit) = 0.03
- SG = Immm (71)
- Fermi-level density of states (states/eV/atom) = 1.449
- spin magnetization (μB/atom) = 0.0000

***

# 2
Material: Ac4LaIn
Method: DFT, GGA-PBE
State: optimized geometry

Cell lengths 3.956, 3.956, 15.461 Å; angles 90.00, 90.00, 90.00 degrees
Positions (direct):
1 Ac 0.000 0.000 0.141
2 Ac 0.000 0.000 0.859
3 Ac 0.500 0.500 0.327
4 Ac 0.500 0.500 0.673
5 La 0.000 0.000 0.500
6 In 0.500 0.500 0.000

- calculated volume (Å³ per atom) = 40.32
- energy of formation from the pure elements (eV per formula unit) = -0.71
- SG = P4/mmm (123)
- Fermi-level density of states (states/eV/atom) = 1.605
- spin magnetization (μB/atom) = 0.0000

***

# 3
Material: Ac2La6In
Method: DFT, GGA-PBE
State: optimized geometry

Cell lengths 11.813, 11.813, 7.111 Å; angles 97.05, 97.05, 43.26 degrees
Positions (direct):
1 Ac 0.137 0.304 0.359
2 Ac 0.304 0.137 0.859
3 Ac 0.696 0.863 0.141
4 Ac 0.863 0.696 0.641
5 La 0.019 0.116 0.099
6 La 0.116 0.019 0.599
7 La 0.170 0.513 0.078
8 La 0.293 0.549 0.601
9 La 0.451 0.707 0.899
10 La 0.487 0.830 0.422
11 La 0.513 0.170 0.578
12 La 0.549 0.293 0.101
13 La 0.707 0.451 0.399
14 La 0.830 0.487 0.922
15 La 0.884 0.981 0.401
16 La 0.981 0.884 0.901
17 In 0.287 0.713 0.250
18 In 0.713 0.287 0.750

- calculated volume (Å³ per atom) = 37.45
- energy of formation from the pure elements (eV per formula unit) = -0.16
- SG = C2/c (15)
- Fermi-level density of states (states/eV/atom) = 1.438
- spin magnetization (μB/atom) = 0.0000